(1)
Crystalline Tc2SbPb at its relaxed geometry, computed with PBE.

```
4
Lattice="0.000 3.378 3.378 3.378 0.000 3.378 3.378 3.378 0.000" Properties=species:S:1:pos:R:3 pbc="T T T"
Tc 0.000 0.000 0.000
Tc 1.689 1.689 1.689
Sb 5.067 5.067 5.067
Pb 3.378 3.378 3.378
```

DOS at the Fermi energy = 3.37 states/eV/f.u.
M_tot = 0.0 μB/f.u.

=====

(2)
Crystalline Tc2SbPb at its relaxed geometry, computed with PBE.

```
4
Lattice="3.346 0.000 0.000 0.000 4.310 0.000 0.000 0.000 5.406" Properties=species:S:1:pos:R:3 pbc="T T T"
Tc 0.000 0.000 0.000
Tc 1.673 0.000 2.703
Sb 0.000 2.155 2.703
Pb 1.673 2.155 0.000
```

DOS at the Fermi energy = 4.69 states/eV/f.u.
M_tot = 0.0 μB/f.u.

=====

(3)
Crystalline TcSbPb at its relaxed geometry, computed with PBE.

```
3
Lattice="-1.655 1.655 6.435 1.655 -1.655 6.435 1.655 1.655 -6.435" Properties=species:S:1:pos:R:3 pbc="T T T"
Tc 0.000 0.000 0.000
Sb 0.000 0.000 7.857
Pb 0.000 0.000 4.502
```

DOS at the Fermi energy = 1.68 states/eV/f.u.
M_tot = 0.0 μB/f.u.

=====

Uncorrected formation energy values (in meV/atom) by entry order: 781, 743, 212.